Entry 1:
! TiMnBr2 PBE-GGA optimized geometry; values from VASP
! **Uncorrected energy**: -4.765 eV/atom
! **DOS at the Fermi energy**: 11.8 states/eV/cell
! **Magnetization**: 0.004 μB/f.u.
! **Offset from the most stable computed form**: 280 meV/atom
! **Formation energy without anion corrections**: 0.34 eV per atom
! **Symmetry**: No. 122
! **Calculated volume**: 19.09 Å³/atom
&SYSTEM
  ibrav = 0, nat = 8, ntyp = 3
/
ATOMIC_SPECIES
Br 79.90 Br.upf
Mn 54.94 Mn.upf
Ti 47.87 Ti.upf
ATOMIC_POSITIONS crystal
Br 0.875 0.889 0.750
Br 0.639 0.125 0.250
Br 0.375 0.361 0.750
Br 0.111 0.625 0.250
Mn 0.750 0.250 0.500
Mn 0.000 0.000 0.000
Ti 0.250 0.750 0.500
Ti 0.500 0.500 0.000
CELL_PARAMETERS angstrom
-2.746 -2.037 -2.873
3.078 0.383 -3.213
3.101 -7.608 -1.040

Entry 2:
! UPa2NiN5 PBE-GGA optimized geometry; values from VASP
! **Uncorrected energy**: -9.804 eV/atom
! **DOS at the Fermi energy**: 5.8 states/eV/cell
! **Magnetization**: 0.000 μB/f.u.
! **Formation energy without anion corrections**: -1.17 eV per atom
! **Symmetry**: No. 36
! **Calculated volume**: 12.75 Å³/atom
&SYSTEM
  ibrav = 0, nat = 18, ntyp = 4
/
ATOMIC_SPECIES
U 238.03 U.upf
N 14.01 N.upf
Pa 231.04 Pa.upf
Ni 58.69 Ni.upf
ATOMIC_POSITIONS crystal
U 0.821 0.643 0.495
U 0.179 0.357 0.995
N 0.301 0.601 0.649
N 0.502 0.004 0.293
N 0.029 0.058 0.075
N 0.341 0.681 0.002
N 0.699 0.399 0.149
N 0.703 0.405 0.839
N 0.659 0.319 0.502
N 0.297 0.595 0.339
N 0.498 0.996 0.793
N 0.971 0.942 0.575
Pa 0.876 0.752 0.805
Pa 0.875 0.749 0.180
Pa 0.125 0.251 0.680
Pa 0.124 0.248 0.305
Ni 0.511 0.021 0.488
Ni 0.489 0.979 0.988
CELL_PARAMETERS angstrom
-2.338 0.306 2.403
3.603 -5.440 1.840
6.400 6.084 5.452

Entry 3:
! TcNi2Te PBE-GGA optimized geometry; values from VASP
! **Uncorrected energy**: -6.023 eV/atom
! **DOS at the Fermi energy**: 5.5 states/eV/cell
! **Magnetization**: 0.000 μB/f.u.
! **Formation energy without anion corrections**: 0.24 eV per atom
! **Symmetry**: No. 99
! **Calculated volume**: 14.51 Å³/atom
&SYSTEM
  ibrav = 0, nat = 4, ntyp = 3
/
ATOMIC_SPECIES
Ni 58.69 Ni.upf
Te 127.60 Te.upf
Tc 98.00 Tc.upf
ATOMIC_POSITIONS crystal
Ni 0.000 0.000 0.026
Ni 0.500 0.500 0.231
Te 0.500 0.500 0.761
Tc 0.000 0.000 0.482
CELL_PARAMETERS angstrom
-0.182 -1.751 2.705
1.399 -2.484 -1.513
5.010 1.876 1.552

Entry 4:
! Al2HgPb PBE-GGA optimized geometry; values from VASP
! **Uncorrected energy**: -2.591 eV/atom
! **DOS at the Fermi energy**: 4.7 states/eV/cell
! **Magnetization**: 0.000 μB/f.u.
! **Offset from the most stable computed form**: 137 meV/atom
! **Symmetry**: No. 122
! **Calculated volume**: 24.17 Å³/atom
&SYSTEM
  ibrav = 0, nat = 8, ntyp = 3
/
ATOMIC_SPECIES
Al 26.98 Al.upf
Pb 207.20 Pb.upf
Hg 200.59 Hg.upf
ATOMIC_POSITIONS crystal
Al 0.875 0.852 0.750
Al 0.602 0.125 0.250
Al 0.375 0.398 0.750
Al 0.148 0.625 0.250
Pb 0.000 0.000 0.000
Pb 0.750 0.250 0.500
Hg 0.250 0.750 0.500
Hg 0.500 0.500 0.000
CELL_PARAMETERS angstrom
7.924 0.000 0.000
0.000 7.924 0.000
3.962 3.962 3.080

Entry 5:
! Hf2UAu PBE-GGA optimized geometry; values from VASP
! **Uncorrected energy**: -8.671 eV/atom
! **DOS at the Fermi energy**: 6.5 states/eV/cell
! **Magnetization**: 0.936 μB/f.u.
! **Offset from the most stable computed form**: 59 meV/atom
! **Symmetry**: No. 123
! **Calculated volume**: 20.39 Å³/atom
&SYSTEM
  ibrav = 0, nat = 4, ntyp = 3
/
ATOMIC_SPECIES
Hf 178.49 Hf.upf
Au 196.97 Au.upf
U 238.03 U.upf
ATOMIC_POSITIONS crystal
Hf 0.000 0.500 0.000
Hf 0.000 0.000 0.500
Au 0.500 0.000 0.000
U 0.500 0.500 0.500
CELL_PARAMETERS angstrom
-1.492 2.707 -0.518
-3.468 -2.452 -2.825
-2.845 -0.771 4.163

Entry 6:
! TaSiTe2 PBE-GGA optimized geometry; values from VASP
! **Uncorrected energy**: -5.216 eV/atom
! **DOS at the Fermi energy**: 3.6 states/eV/cell
! **Magnetization**: 0.000 μB/f.u.
! **Formation energy without anion corrections**: 0.67 eV per atom
! **Symmetry**: No. 47
! **Calculated volume**: 21.64 Å³/atom
&SYSTEM
  ibrav = 0, nat = 4, ntyp = 3
/
ATOMIC_SPECIES
Ta 180.95 Ta.upf
Te 127.60 Te.upf
Si 28.09 Si.upf
ATOMIC_POSITIONS crystal
Ta 0.000 0.500 0.500
Te 0.000 0.000 0.000
Te 0.500 0.500 0.000
Si 0.500 0.000 0.500
CELL_PARAMETERS angstrom
-2.970 -0.772 1.564
1.138 -5.271 -0.440
2.139 0.118 4.121

> Among the records above, which one has the highest uncorrected energy?

Al2HgPb

> Among the records above, which one has the highest uncorrected energy?

Al2HgPb